Entry 1:
Computed, not measured: an optimized crystal structure of LaTb8Pm2 at the PBE level of DFT.

Values from the calculation:
Space group: C2/m
ΔH_f (0 K): 0.145 eV per atom
Size of the total moment: 0.00 μB/f.u.

a = 5.589 Å, b = 10.237 Å, c = 10.237 Å
α = 40.38°, β = 92.80°, γ = 92.80°
Atoms (fractional coordinates):
1 La 0.000 0.000 0.000
2 Tb 0.267 0.136 0.600
3 Tb 0.267 0.600 0.136
4 Tb 0.733 0.864 0.400
5 Tb 0.239 0.546 0.546
6 Tb 0.733 0.400 0.864
7 Tb 0.234 0.188 0.188
8 Tb 0.766 0.812 0.812
9 Tb 0.761 0.454 0.454
10 Pm 0.749 0.285 0.285
11 Pm 0.251 0.715 0.715


Entry 2:
Computed, not measured: an optimized crystal structure of TaCrMo2I at the PBE level of DFT.

Values from the calculation:
Space group: P4/mmm
Formation energy (no corrections): 1.9604 eV/atom
Size of the total moment: 0.92 μB/f.u.

a = 4.886 Å, b = 5.424 Å, c = 4.886 Å
α = 90.00°, β = 90.00°, γ = 90.00°
Last column: magnetic moment on the atom in μB.
Atoms (fractional coordinates):
1 I 0.000 0.500 0.000  0.05
2 Cr 0.500 0.500 0.500  -4.05
3 Mo 0.000 0.000 0.500  1.38
4 Mo 0.500 0.000 0.000  1.88
5 Ta 0.000 0.000 0.000  -0.20


Entry 3:
Computed, not measured: an optimized crystal structure of NdVPt at the PBE level of DFT.

Values from the calculation:
Space group: P4/mmm
ΔH_f (0 K): -0.321 eV per atom
Size of the total moment: 0.00 μB/f.u.

a = 5.071 Å, b = 3.586 Å, c = 9.877 Å
α = 90.00°, β = 90.00°, γ = 134.99°
Atoms (fractional coordinates):
1 Pt 0.694 0.388 0.000
2 Pt 0.195 0.390 0.500
3 Nd 0.695 0.389 0.321
4 Nd 0.695 0.389 0.679
5 V 0.194 0.388 0.901
6 V 0.194 0.388 0.099


Entry 4:
Computed, not measured: an optimized crystal structure of Tm4MgHg7 at the PBE level of DFT.

Values from the calculation:
Space group: C2/m
ΔH_f (0 K): -0.285 eV per atom
Size of the total moment: 0.00 μB/f.u.

a = 5.275 Å, b = 9.596 Å, c = 6.890 Å
α = 78.96°, β = 67.49°, γ = 74.05°
Atoms (fractional coordinates):
1 Tm 0.580 0.223 0.617
2 Tm 0.420 0.777 0.383
3 Tm 0.733 0.684 0.850
4 Tm 0.267 0.316 0.150
5 Mg 0.000 0.000 0.000
6 Hg 0.803 0.918 0.477
7 Hg 0.197 0.082 0.523
8 Hg 0.075 0.658 0.192
9 Hg 0.925 0.342 0.808
10 Hg 0.361 0.536 0.742
11 Hg 0.500 0.000 0.000
12 Hg 0.639 0.464 0.258


Entry 5:
Computed, not measured: an optimized crystal structure of UMn4Os at the PBE level of DFT.

Values from the calculation:
Space group: F-43m
ΔH_f (0 K): 0.182 eV per atom
Size of the total moment: 6.04 μB/f.u.

a = 4.878 Å, b = 4.878 Å, c = 4.878 Å
α = 60.00°, β = 60.00°, γ = 60.00°
Last column: magnetic moment on the atom in μB.
Atoms (fractional coordinates):
1 Os 0.000 0.000 0.000  0.00
2 Mn 0.627 0.627 0.120  1.29
3 Mn 0.627 0.120 0.627  1.29
4 Mn 0.627 0.627 0.627  1.29
5 Mn 0.120 0.627 0.627  1.29
6 U 0.250 0.250 0.250  0.62


Entry 6:
Computed, not measured: an optimized crystal structure of TaOsO2 at the PBE level of DFT.

Values from the calculation:
Space group: I-42d
Formation energy (no corrections): -0.8105 eV/atom
Polymorph energy (0 for the lowest one): 356 meV per atom
Size of the total moment: 0.39 μB/f.u.

a = 3.873 Å, b = 3.873 Å, c = 7.083 Å
α = 74.13°, β = 74.13°, γ = 90.00°
Last column: magnetic moment on the atom in μB.
Atoms (fractional coordinates):
1 Os 0.000 0.000 0.000  0.30
2 Os 0.750 0.250 0.500  0.30
3 O 0.615 0.125 0.250  0.02
4 O 0.135 0.625 0.250  0.02
5 O 0.375 0.385 0.750  0.02
6 O 0.875 0.865 0.750  0.02
7 Ta 0.500 0.500 0.000  0.01
8 Ta 0.250 0.750 0.500  0.01


Entry 7:
Computed, not measured: an optimized crystal structure of LiHg3Bi at the PBE level of DFT.

Values from the calculation:
Space group: P-1
ΔH_f (0 K): -0.131 eV per atom
Polymorph energy (0 for the lowest one): 0 meV per atom
Size of the total moment: 0.00 μB/f.u.

a = 3.520 Å, b = 5.983 Å, c = 12.711 Å
α = 102.05°, β = 89.94°, γ = 73.98°
Atoms (fractional coordinates):
1 Li 0.501 0.009 0.648
2 Li 0.499 0.991 0.352
3 Hg 0.123 0.735 0.481
4 Hg 0.357 0.278 0.050
5 Hg 0.073 0.831 0.168
6 Hg 0.877 0.265 0.519
7 Hg 0.927 0.169 0.832
8 Hg 0.643 0.722 0.950
9 Bi 0.214 0.587 0.708
10 Bi 0.786 0.413 0.292


Entry 8:
Computed, not measured: an optimized crystal structure of LaCr2Ni at the PBE level of DFT.

Values from the calculation:
Space group: I-4m2
ΔH_f (0 K): 0.371 eV per atom
Polymorph energy (0 for the lowest one): 128 meV per atom
Size of the total moment: 0.79 μB/f.u.

a = 4.659 Å, b = 4.659 Å, c = 4.659 Å
α = 120.13°, β = 120.13°, γ = 89.78°
Last column: magnetic moment on the atom in μB.
Atoms (fractional coordinates):
1 Cr 0.000 0.000 0.000  3.31
2 Cr 0.250 0.750 0.500  -2.92
3 La 0.500 0.500 0.000  -0.03
4 Ni 0.750 0.250 0.500  0.24


Entry 9:
Computed, not measured: an optimized crystal structure of Ba3NbRu at the PBE level of DFT.

Values from the calculation:
Space group: Pm-3m
ΔH_f (0 K): 0.953 eV per atom
Polymorph energy (0 for the lowest one): 0 meV per atom
Size of the total moment: 4.85 μB/f.u.

a = 5.877 Å, b = 5.877 Å, c = 5.877 Å
α = 90.00°, β = 90.00°, γ = 90.00°
Last column: magnetic moment on the atom in μB.
Atoms (fractional coordinates):
1 Ru 0.000 0.000 0.000  0.20
2 Nb 0.500 0.500 0.500  2.95
3 Ba 0.000 0.500 0.000  0.03
4 Ba 0.000 0.000 0.500  0.04
5 Ba 0.500 0.000 0.000  0.04


Entry 10:
Computed, not measured: an optimized crystal structure of CsAc2AgTe4 at the PBE level of DFT.

Values from the calculation:
Space group: Cmcm
Formation energy (no corrections): -1.2890 eV/atom
Size of the total moment: 0.00 μB/f.u.

a = 4.798 Å, b = 8.555 Å, c = 16.592 Å
α = 90.00°, β = 90.00°, γ = 106.28°
Atoms (fractional coordinates):
1 Cs 0.113 0.226 0.750
2 Cs 0.887 0.774 0.250
3 Ac 0.367 0.733 0.564
4 Ac 0.633 0.267 0.064
5 Ac 0.633 0.267 0.436
6 Ac 0.367 0.733 0.936
7 Ag 0.841 0.682 0.750
8 Ag 0.159 0.318 0.250
9 Te 0.264 0.527 0.110
10 Te 0.736 0.473 0.610
11 Te 0.736 0.473 0.890
12 Te 0.264 0.527 0.390
13 Te 0.000 0.000 0.500
14 Te 0.000 0.000 0.000
15 Te 0.435 0.870 0.750
16 Te 0.565 0.130 0.250


Entry 11:
Computed, not measured: an optimized crystal structure of Te2PCl at the PBE level of DFT.

Values from the calculation:
Space group: Pmm2
Formation energy (no corrections): 0.0561 eV/atom
Polymorph energy (0 for the lowest one): 151 meV per atom
Size of the total moment: 0.00 μB/f.u.

a = 3.647 Å, b = 4.340 Å, c = 7.842 Å
α = 90.00°, β = 90.00°, γ = 90.00°
Atoms (fractional coordinates):
1 Cl 0.000 0.000 0.565
2 P 0.500 0.500 0.876
3 Te 0.000 0.000 0.874
4 Te 0.500 0.500 0.185


Entry 12:
Computed, not measured: an optimized crystal structure of Y2ScRe at the PBE level of DFT.

Values from the calculation:
Space group: Fm-3m
ΔH_f (0 K): 0.229 eV per atom
Polymorph energy (0 for the lowest one): 125 meV per atom
Size of the total moment: 0.00 μB/f.u.

a = 5.066 Å, b = 5.066 Å, c = 5.066 Å
α = 60.00°, β = 60.00°, γ = 60.00°
Atoms (fractional coordinates):
1 Y 0.250 0.250 0.250
2 Y 0.750 0.750 0.750
3 Re 0.500 0.500 0.500
4 Sc 0.000 0.000 0.000